! NaAsRhO5 | the Alexandria database | PBE-GGA | relaxed; values from VASP
&SYSTEM
  ibrav = 0, nat = 16, ntyp = 4
/
ATOMIC_SPECIES
O 16.00 O.upf
As 74.92 As.upf
Na 22.99 Na.upf
Rh 102.91 Rh.upf
ATOMIC_POSITIONS angstrom
O -2.829 -2.767 1.928
O -1.699 0.885 4.517
O -4.869 -3.482 -1.937
O -3.739 0.170 0.651
O -4.106 0.274 3.419
O -2.462 -2.871 -0.839
O -6.075 -0.820 1.637
O -5.742 1.953 1.678
O -0.493 -1.777 0.943
O -0.825 -4.550 0.902
As -4.916 0.447 1.897
As -1.651 -3.044 0.683
Na -1.679 -0.775 2.896
Na -4.889 -1.822 -0.316
Rh -3.236 1.076 -1.142
Rh 0.000 0.000 0.000
CELL_PARAMETERS angstrom
-0.009 -5.577 -0.694
-0.087 0.829 5.558
-6.471 2.151 -2.284
! crystal system = monoclinic
! final energy = -5.9370 eV per atom
! SG = No. 15